[1]
VASP calculation (PBE-GGA) on a relaxed structure of TbPmNd2P4.

a = 7.1416 Å, b = 4.1268 Å, c = 7.1420 Å
α = 90.00°, β = 109.45°, γ = 90.00°
With the nearest neighbours (Å) after each atom.
Space group P2/m (No. 10)
One atom of each set of equivalent atoms:
Tb1 0.0000 0.0000 0.0000 x1  6 P 2.88
Pm1 0.0000 0.5000 0.5000 x1  6 P 2.91
Nd1 0.5000 0.0000 0.5000 x1  6 P 2.95
Nd2 0.5000 0.5000 0.0000 x1  6 P 2.92-2.93
P1 0.2438 0.5000 0.2451 x2  2 Tb 2.88, 1 Pm 2.91, 3 Nd 2.92-2.95
P2 0.2458 0.0000 0.7514 x2  1 Tb 2.88, 2 Pm 2.91, 3 Nd 2.93-2.95

Properties
For the energy of formation, the calculation gives -1.56 eV/atom. The calculation puts the density of states at the Fermi level at 0.081 states/eV per atom. For the total energy, the calculation gives -53.03 eV per cell.

=====

[2]
VASP calculation (PBE-GGA) on a relaxed structure of Tb2PmNdP4.

a = 5.7818 Å, b = 5.7818 Å, c = 11.5766 Å
α = 90.00°, β = 90.00°, γ = 90.00°
With the nearest neighbours (Å) after each atom.
Space group I4/mmm (No. 139)
One atom of each set of equivalent atoms:
Tb1 0.0000 0.5000 0.2500 x4  6 P 2.89
Pm1 0.0000 0.0000 0.0000 x2  6 P 2.88-2.89
Nd1 0.0000 0.0000 0.5000 x2  6 P 2.89-2.90
P1 0.0000 0.0000 0.2492 x4  1 Pm 2.88, 4 Tb 2.89, 1 Nd 2.90
P2 0.0000 0.5000 0.0000 x4  2 Nd 2.89, 2 Pm 2.89, 2 Tb 2.89

Properties
For the energy of formation, the calculation gives -1.57 eV/atom. The calculation puts the density of states at the Fermi level at 0.116 states/eV per atom. For the total energy, the calculation gives -105.99 eV per cell.

=====

[3]
VASP calculation (PBE-GGA) on a relaxed structure of PmNd3Th2P6.

a = 7.1943 Å, b = 12.4731 Å, c = 7.1881 Å
α = 90.00°, β = 109.47°, γ = 90.00°
With the nearest neighbours (Å) after each atom.
Space group C2/m (No. 12)
One atom of each set of equivalent atoms:
Pm1 0.0000 0.0000 0.0000 x2  6 P 2.93
Nd1 0.0000 0.1659 0.5000 x4  6 P 2.95-2.96
Nd2 0.0000 0.5000 0.5000 x2  6 P 2.94-2.96
Th1 0.0000 0.3332 0.0000 x4  6 P 2.91-2.92
P1 0.2466 0.5000 0.2461 x4  2 Th 2.92, 1 Pm 2.93, 3 Nd 2.94-2.95
P2 0.2496 0.1676 0.2457 x8  2 Th 2.91, 1 Pm 2.93, 3 Nd 2.95-2.96

Properties
For the energy of formation, the calculation gives -1.58 eV/atom. The calculation puts the density of states at the Fermi level at 0.195 states/eV per atom. For the total energy, the calculation gives -170.58 eV per cell.

=====

[4]
VASP calculation (PBE-GGA) on a relaxed structure of PmNdTh2P4.

a = 7.1706 Å, b = 4.1518 Å, c = 7.1899 Å
α = 90.00°, β = 109.60°, γ = 90.00°
With the nearest neighbours (Å) after each atom.
Space group P2/m (No. 10)
One atom of each set of equivalent atoms:
Pm1 0.0000 0.0000 0.0000 x1  6 P 2.94
Nd1 0.0000 0.5000 0.5000 x1  6 P 2.95
Th1 0.5000 0.0000 0.5000 x1  6 P 2.92
Th2 0.5000 0.5000 0.0000 x1  6 P 2.91-2.92
P1 0.2530 0.5000 0.2500 x2  3 Th 2.92, 2 Pm 2.94, 1 Nd 2.95
P2 0.2538 0.0000 0.7521 x2  3 Th 2.91-2.92, 1 Pm 2.94, 2 Nd 2.95

Properties
For the energy of formation, the calculation gives -1.57 eV/atom. The calculation puts the density of states at the Fermi level at 0.510 states/eV per atom. For the total energy, the calculation gives -58.56 eV per cell.